Entry 1:
VASP calculation (PBE) on a geometry-optimized BaSiGePt2 structure.

Properties
Total magnetization   0.0 μB/f.u.
Final energy   -5.598 eV per atom

a = 4.504 Å, b = 4.504 Å, c = 10.144 Å
α = 90.00°, β = 90.00°, γ = 90.00°
Fractional positions:
Ba 0.250 0.250 0.247
Ba 0.750 0.750 0.753
Si 0.250 0.250 0.616
Si 0.750 0.750 0.384
Ge 0.250 0.750 0.000
Ge 0.750 0.250 0.000
Pt 0.250 0.250 0.866
Pt 0.250 0.750 0.500
Pt 0.750 0.250 0.500
Pt 0.750 0.750 0.134

***

Entry 2:
VASP calculation (PBE) on a geometry-optimized Hf2TaCu structure.

Properties
Total magnetization   0.0 μB/f.u.
Formation energy   0.25 eV/atom

a = 4.676 Å, b = 4.676 Å, c = 4.676 Å
α = 60.00°, β = 60.00°, γ = 60.00°
Fractional positions:
Hf 0.000 0.000 0.000
Hf 0.250 0.250 0.250
Ta 0.750 0.750 0.750
Cu 0.500 0.500 0.500

***

Entry 3:
VASP calculation (PBE) on a geometry-optimized KDyTe3Pd structure.

Properties
Total magnetization   0.0 μB/f.u.
Final energy   -4.333 eV per atom

a = 9.677 Å, b = 4.348 Å, c = 10.515 Å
α = 90.00°, β = 112.63°, γ = 90.00°
Fractional positions:
K 0.220 0.250 0.243
K 0.780 0.750 0.757
Dy 0.316 0.750 0.853
Dy 0.684 0.250 0.147
Te 0.095 0.250 0.864
Te 0.196 0.750 0.522
Te 0.464 0.750 0.167
Te 0.536 0.250 0.833
Te 0.804 0.250 0.478
Te 0.905 0.750 0.136
Pd 0.103 0.250 0.609
Pd 0.897 0.750 0.391

***

Entry 4:
VASP calculation (PBE) on a geometry-optimized Gd2YAl3Si2Pd structure.

Properties
Total magnetization   0.0 μB/f.u.
Final energy   -5.574 eV per atom

a = 4.273 Å, b = 6.928 Å, c = 6.928 Å
α = 119.99°, β = 90.00°, γ = 90.00°
Fractional positions:
Gd 0.000 0.209 0.791
Gd 0.000 0.791 0.209
Y 0.000 0.627 0.627
Al 0.500 0.210 0.447
Al 0.500 0.447 0.210
Al 0.500 0.970 0.970
Si 0.500 0.543 0.874
Si 0.500 0.874 0.543
Pd 0.000 0.210 0.210

***

Entry 5:
VASP calculation (PBE) on a geometry-optimized CsSmP2Se6 structure.

Properties
Total magnetization   0.0 μB/f.u.
Final energy   -4.556 eV per atom

a = 7.014 Å, b = 7.682 Å, c = 22.562 Å
α = 90.00°, β = 90.00°, γ = 90.00°
Fractional positions:
Cs 0.135 0.033 0.005
Cs 0.365 0.967 0.505
Cs 0.635 0.467 0.995
Cs 0.865 0.533 0.495
Sm 0.219 0.197 0.250
Sm 0.281 0.803 0.750
Sm 0.719 0.303 0.750
Sm 0.781 0.697 0.250
P 0.184 0.467 0.115
P 0.193 0.310 0.669
P 0.307 0.690 0.169
P 0.316 0.533 0.615
P 0.684 0.033 0.885
P 0.693 0.190 0.331
P 0.807 0.810 0.831
P 0.816 0.967 0.385
Se 0.066 0.888 0.329
Se 0.070 0.886 0.171
Se 0.078 0.716 0.868
Se 0.107 0.742 0.627
Se 0.131 0.550 0.025
Se 0.134 0.430 0.758
Se 0.366 0.570 0.258
Se 0.369 0.450 0.525
Se 0.393 0.258 0.127
Se 0.422 0.284 0.368
Se 0.430 0.114 0.671
Se 0.434 0.112 0.829
Se 0.566 0.612 0.671
Se 0.570 0.614 0.829
Se 0.578 0.784 0.132
Se 0.607 0.758 0.373
Se 0.631 0.950 0.975
Se 0.634 0.070 0.242
Se 0.866 0.930 0.742
Se 0.869 0.050 0.475
Se 0.893 0.242 0.873
Se 0.922 0.216 0.632
Se 0.930 0.386 0.329
Se 0.934 0.388 0.171

***

Entry 6:
VASP calculation (PBE) on a geometry-optimized NaTmSO structure.

Properties
Total magnetization   0.0 μB/f.u.
Final energy   -6.069 eV per atom

a = 6.779 Å, b = 7.143 Å, c = 6.175 Å
α = 90.00°, β = 104.41°, γ = 90.00°
Fractional positions:
Na 0.088 0.250 0.002
Na 0.088 0.250 0.502
Na 0.912 0.750 0.498
Na 0.912 0.750 0.998
Tm 0.463 0.624 0.266
Tm 0.463 0.876 0.766
Tm 0.537 0.124 0.234
Tm 0.537 0.376 0.734
S 0.221 0.586 0.833
S 0.221 0.914 0.333
S 0.779 0.086 0.667
S 0.779 0.414 0.167
O 0.382 0.152 0.879
O 0.382 0.348 0.379
O 0.618 0.652 0.621
O 0.618 0.848 0.121